# 1
Here is an optimized crystal structure of FeGePtW from OQMD. Energies are from PBE-GGA.

Total magnetic moment (μB per formula unit): 1.30
E_tot (eV per atom): -7.844
Energy above the lowest structure with this stoichiometry (meV per atom): 0

a = 4.3592 Å, b = 4.3592 Å, c = 4.3592 Å
α = 60.00°, β = 60.00°, γ = 60.00°
Positions (direct):
Pt: 0.5000 0.5000 0.5000
Fe: 0.7500 0.7500 0.7500
W: 0.2500 0.2500 0.2500
Ge: 0.0000 0.0000 0.0000


# 2
Here is an optimized crystal structure of ZnFeGePt from OQMD. Energies are from PBE-GGA.

Total magnetic moment (μB per formula unit): 2.65
E_tot (eV per atom): -5.086
Energy above the lowest structure with this stoichiometry (meV per atom): 110

a = 4.3678 Å, b = 4.3678 Å, c = 4.3678 Å
α = 60.00°, β = 60.00°, γ = 60.00°
Positions (direct):
Ge: 0.0000 0.0000 0.0000
Pt: 0.5000 0.5000 0.5000
Zn: 0.2500 0.2500 0.2500
Fe: 0.7500 0.7500 0.7500


# 3
Here is an optimized crystal structure of ZnFeGePt from OQMD. Energies are from PBE-GGA.

Total magnetic moment (μB per formula unit): 1.95
E_tot (eV per atom): -5.196
Energy above the lowest structure with this stoichiometry (meV per atom): 0

a = 4.3019 Å, b = 4.3019 Å, c = 4.3019 Å
α = 60.00°, β = 60.00°, γ = 60.00°
Positions (direct):
Ge: 0.0000 0.0000 0.0000
Zn: 0.5000 0.5000 0.5000
Fe: 0.7500 0.7500 0.7500
Pt: 0.2500 0.2500 0.2500